Compound: HfCuAu
Source: OQMD
Functional: PBE-GGA
Structure: optimized geometry

```
3
Lattice="0.000 3.040 3.040 3.040 0.000 3.040 3.040 3.040 0.000" Properties=species:S:1:pos:R:3 pbc="T T T"
Au 1.520 1.520 1.520
Hf 4.561 4.561 4.561
Cu 0.000 0.000 0.000
```

Values from the calculation:
The calculation puts the energy relative to the elements at -76 meV/atom. Its relative energy among the computed polymorphs is 280 meV/atom. For the energy, the calculation gives -17.17 eV per cell.